(1)
MgTcCl (GGA-PBE, optimized geometry); space group = No. 187; relative energy among the computed polymorphs = 331.9 meV/atom
1.0
4.4665 0.0000 0.0000
-2.2332 3.8681 0.0000
0.0000 0.0000 2.8810
Cl Mg Tc
1 1 1
Direct
0.0000 0.0000 0.8337
0.6667 0.3333 0.3329
0.3333 0.6667 0.8334

(2)
Y3Be5 (GGA-PBE, optimized geometry); space group = No. 65; relative energy among the computed polymorphs = 205.1 meV/atom; formation energy = 264.1 meV per atom
1.0
2.8209 3.5758 3.6410
-5.6956 1.2340 -0.1932
-0.7205 -2.8067 3.3147
Y Be
3 5
Direct
0.5000 0.5000 0.0000
0.7712 0.2288 0.5000
0.2288 0.7712 0.5000
0.0000 0.0000 0.0000
0.0000 0.5000 0.0000
0.5000 0.0000 0.0000
0.2172 0.2172 0.5000
0.7828 0.7828 0.5000

(3)
Rb2GaSnAu6 (GGA-PBE, optimized geometry); space group = No. 12; formation energy = -239.0 meV per atom
1.0
-2.0504 -0.1290 7.4342
-4.3717 -5.2312 -1.2958
0.6101 -6.0643 3.8509
Rb Ga Sn Au
2 1 1 6
Direct
0.6578 0.2461 0.5080
0.3422 0.7539 0.4920
0.0000 0.0000 0.0000
0.5000 0.5000 0.0000
0.1465 0.2463 0.5072
0.8165 0.8132 0.8836
0.1830 0.6963 0.1165
0.8170 0.3037 0.8835
0.1835 0.1868 0.1164
0.8535 0.7537 0.4928

(4)
Np2SiNiPt6 (GGA-PBE, optimized geometry); space group = No. 225
1.0
-5.1830 -2.0730 3.4100
3.7971 -4.2816 3.1685
0.1753 -0.0024 6.5390
Np Si Ni Pt
2 1 1 6
Direct
0.2500 0.7500 0.5000
0.7500 0.2500 0.5000
0.0000 0.0000 0.0000
0.5000 0.5000 0.0000
0.2450 0.7550 0.0000
0.7550 0.7550 0.0000
0.2450 0.2450 0.5100
0.7550 0.2450 0.0000
0.2450 0.2450 0.0000
0.7550 0.7550 0.4900

(5)
KGd2C (GGA-PBE, optimized geometry); space group = No. 166; formation energy = -41.4 meV per atom
1.0
3.6970 0.0000 0.0000
1.8485 3.2017 0.0000
1.8485 1.0672 10.4849
K Gd C
1 2 1
Direct
0.0000 0.0000 0.0000
0.1244 0.1244 0.6269
0.8756 0.8756 0.3731
0.5000 0.5000 0.5000

(6)
Sn2PdPt (GGA-PBE, optimized geometry); space group = No. 160; relative energy among the computed polymorphs = 110.2 meV/atom; formation energy = -368.4 meV per atom
1.0
3.8785 0.0000 0.0000
1.9393 3.3589 0.0000
1.9393 1.1196 6.5013
Sn Pd Pt
2 1 1
Direct
0.0798 0.0798 0.7606
0.2521 0.2521 0.2438
0.5040 0.5040 0.4879
0.6641 0.6641 0.0077

(7)
ScCuW2 (GGA-PBE, optimized geometry); space group = No. 12; relative energy among the computed polymorphs = 152.2 meV/atom; formation energy = 309.6 meV per atom
1.0
5.0860 0.0000 -0.0001
-2.3377 4.9415 0.0000
0.4106 0.7418 2.6039
Cu Sc W
1 1 2
Direct
0.0000 0.5000 0.5000
0.5000 0.5000 0.0000
0.0000 0.0000 0.0000
0.5000 0.0000 0.5000

(8)
Pr4Bi2F (GGA-PBE, optimized geometry); space group = No. 139
1.0
4.8161 0.0000 0.0000
0.0000 4.8161 0.0000
2.4081 2.4081 9.0279
Pr Bi F
4 2 1
Direct
0.8185 0.8185 0.3630
0.1815 0.1815 0.6370
0.0000 0.5000 0.0000
0.5000 0.0000 0.0000
0.6358 0.6358 0.7284
0.3642 0.3642 0.2716
0.0000 0.0000 0.0000

(9)
Ba2Os (GGA-PBE, optimized geometry); space group = No. 139; relative energy among the computed polymorphs = 465.7 meV/atom; formation energy = 686.5 meV per atom
1.0
-3.8725 6.9015 2.6524
-2.1011 7.7508 -2.2741
0.6963 -8.2346 -1.1693
Ba Os
2 1
Direct
0.8837 0.8837 0.0000
0.1163 0.1163 0.0000
0.5000 0.5000 0.0000

(10)
TbNd4DyEr2 (GGA-PBE, optimized geometry); space group = No. 10; formation energy = 15.1 meV per atom
1.0
3.6179 0.0000 0.0000
0.0000 6.2501 0.0522
0.0000 2.0095 11.6875
Tb Nd Dy Er
1 4 1 2
Direct
0.5000 0.5000 0.0000
0.0000 0.7506 0.7490
0.0000 0.2494 0.2510
0.5000 0.7501 0.2496
0.5000 0.2499 0.7504
0.0000 0.5000 0.5000
0.0000 0.0000 0.0000
0.5000 0.0000 0.5000

(11)
KCd2In6 (GGA-PBE, optimized geometry); space group = No. 123; formation energy = -35.5 meV per atom
1.0
4.8321 0.0000 0.0000
0.0000 4.8321 0.0000
0.0000 0.0000 11.1612
K Cd In
1 2 6
Direct
0.0000 0.0000 0.0000
0.5000 0.5000 0.1272
0.5000 0.5000 0.8728
0.0000 0.5000 0.2945
0.5000 0.0000 0.2945
0.0000 0.5000 0.7055
0.5000 0.0000 0.7055
0.5000 0.5000 0.5000
0.0000 0.0000 0.5000

(12)
FeGe6Mo3 (GGA-PBE, optimized geometry); space group = No. 14; formation energy = 141.8 meV per atom
1.0
5.6667 0.0000 -0.5431
0.0000 6.8370 0.0000
-0.7285 0.0000 8.5698
Fe Ge Mo
2 12 6
Direct
0.5000 0.5000 0.5000
0.0000 0.0000 0.0000
0.6321 0.1622 0.9349
0.6135 0.1722 0.5682
0.6876 0.4661 0.2848
0.3124 0.5339 0.7152
0.3865 0.8278 0.4318
0.3679 0.8378 0.0651
0.1321 0.3378 0.4349
0.1135 0.3278 0.0682
0.1876 0.0339 0.7848
0.8124 0.9661 0.2152
0.8865 0.6722 0.9318
0.8679 0.6622 0.5651
0.5689 0.8571 0.7341
0.5000 0.5000 0.0000
0.4311 0.1429 0.2659
0.0689 0.6429 0.2341
0.0000 0.0000 0.5000
0.9311 0.3571 0.7659

(13)
Y3TmTl3Te8 (GGA-PBE, optimized geometry); space group = No. 12
1.0
-0.1498 -8.3112 2.7867
6.0766 2.5754 -5.7907
1.0231 3.0298 9.0905
Y Tm Tl Te
3 1 3 8
Direct
0.5000 0.0000 0.5000
0.5000 0.5000 0.5000
0.0000 0.5000 0.5000
0.0000 0.0000 0.5000
0.0000 0.0000 0.0000
0.0000 0.5000 0.0000
0.5000 0.5000 0.0000
0.2612 0.5224 0.2835
0.7388 0.4776 0.7165
0.7629 0.5258 0.2860
0.2371 0.4742 0.7140
0.7629 0.0231 0.2860
0.2371 0.9769 0.7140
0.2602 0.0231 0.2860
0.7398 0.9769 0.7140

(14)
AlCd2Cu (GGA-PBE, optimized geometry); space group = No. 44; formation energy = 65.4 meV per atom
1.0
6.4500 0.4148 -0.0494
3.8471 5.1937 0.0494
-4.5233 -3.9522 2.3868
Al Cu Cd
1 1 2
Direct
0.3074 0.8074 0.5000
0.4879 0.4879 0.0000
0.0019 0.0019 0.0000
0.7027 0.2027 0.5000

(15)
Nd2ScIn (GGA-PBE, optimized geometry); space group = No. 123; relative energy among the computed polymorphs = 0.0 meV/atom; formation energy = -257.3 meV per atom
1.0
-1.6286 -4.5999 0.1370
4.1907 -1.5385 -1.8380
1.7751 -0.4956 4.4621
Sc Nd In
1 2 1
Direct
0.5000 0.0000 0.0000
0.0000 0.0000 0.5000
0.0000 0.5000 0.0000
0.5000 0.5000 0.5000

(16)
KNpNiS3 (GGA-PBE, optimized geometry); space group = No. 11
1.0
3.9061 0.0000 0.0000
0.0000 8.7492 -0.2837
0.0000 -2.5892 8.6364
K Np Ni S
2 2 2 6
Direct
0.2500 0.2003 0.2411
0.7500 0.7997 0.7589
0.2500 0.6800 0.1627
0.7500 0.3200 0.8373
0.2500 0.0816 0.5894
0.7500 0.9184 0.4106
0.7500 0.8786 0.1463
0.2500 0.1214 0.8537
0.2500 0.8114 0.4673
0.7500 0.1886 0.5327
0.7500 0.4606 0.1555
0.2500 0.5394 0.8445

(17)
Sn6SbTe3As2 (GGA-PBE, optimized geometry); space group = No. 12
1.0
-0.9814 6.8738 -2.6661
-5.0338 -2.8710 4.6625
5.6409 1.3865 4.9629
Sn Sb Te As
6 1 3 2
Direct
0.9229 0.5749 0.7712
0.7253 0.7253 0.2221
0.0771 0.4251 0.2288
0.5749 0.9229 0.7712
0.2747 0.2747 0.7779
0.4251 0.0771 0.2288
0.0000 0.0000 0.0000
0.1622 0.8378 0.5000
0.8378 0.1622 0.5000
0.5000 0.5000 0.5000
0.3324 0.6676 0.0000
0.6676 0.3324 0.0000

(18)
ErPd3Pt (GGA-PBE, optimized geometry); space group = No. 198; relative energy among the computed polymorphs = 26.7 meV/atom; formation energy = -580.5 meV per atom
1.0
-6.5982 -1.5921 -2.0151
0.3576 -6.0711 3.6258
-2.5432 3.2771 5.7380
Er Pd Pt
4 12 4
Direct
0.6981 0.6981 0.6981
0.8019 0.3019 0.1981
0.3019 0.1981 0.8019
0.1981 0.8019 0.3019
0.1250 0.1975 0.4418
0.3750 0.8025 0.9418
0.8750 0.6975 0.0582
0.4418 0.1250 0.1975
0.6250 0.3025 0.5582
0.9418 0.3750 0.8025
0.0582 0.8750 0.6975
0.5582 0.6250 0.3025
0.1975 0.4418 0.1250
0.6975 0.0582 0.8750
0.3025 0.5582 0.6250
0.8025 0.9418 0.3750
0.0471 0.0471 0.0471
0.4529 0.9529 0.5471
0.9529 0.5471 0.4529
0.5471 0.4529 0.9529

(19)
Y2CuNiOs (GGA-PBE, optimized geometry); space group = No. 123; formation energy = 446.2 meV per atom
1.0
-4.9712 1.0812 -0.8639
-0.8592 -0.5333 4.2767
0.9474 5.0066 0.8146
Y Ni Os Cu
2 1 1 1
Direct
0.0000 0.0000 0.5000
0.5000 0.0000 0.0000
0.0000 0.0000 0.0000
0.0000 0.5000 0.0000
0.5000 0.5000 0.5000

(20)
ZnTeCl2 (GGA-PBE, optimized geometry); space group = No. 122; relative energy among the computed polymorphs = 368.2 meV/atom
1.0
7.3251 0.0000 0.0000
0.0000 7.3251 0.0000
3.6625 3.6625 4.6291
Zn Te Cl
2 2 4
Direct
0.5000 0.5000 0.0000
0.2500 0.7500 0.5000
0.0000 0.0000 0.0000
0.7500 0.2500 0.5000
0.4808 0.1250 0.2500
0.2692 0.6250 0.2500
0.3750 0.5192 0.7500
0.8750 0.7308 0.7500

So what do the calculations give for final energy? Going down the list: -12.55 -35.91 -31.02 -73.91 -38.65 -20.71 -35.10 -37.00 -13.02 -37.31 -19.68 -67.24 -71.99 -9.41 -19.63 -39.01 -48.42 -29.08 -31.80 -9.13 eV per formula unit.